CsK2YGe (GGA-PBE, relaxed); symmetry = P4/mmm; energy of formation = 0.114 eV/atom; relative energy among the computed polymorphs = 0.0000 eV/atom
1.0
6.857 0.000 0.000
0.000 6.857 0.000
0.000 0.000 5.684
Cs K Y Ge
1 2 1 1
direct
0.000 0.000 0.000 Cs
0.000 0.500 0.500 K
0.500 0.000 0.500 K
0.500 0.500 0.000 Y
0.500 0.500 0.500 Ge

=====

ZrNbVRu (GGA-PBE, relaxed); symmetry = F-43m; energy of formation = -0.178 eV/atom
1.0
6.460 0.000 0.000
0.000 6.460 0.000
0.000 0.000 6.460
Zr Nb V Ru
4 4 4 4
direct
0.000 0.000 0.000 Zr
0.000 0.500 0.500 Zr
0.500 0.000 0.500 Zr
0.500 0.500 0.000 Zr
0.000 0.000 0.500 Nb
0.000 0.500 0.000 Nb
0.500 0.000 0.000 Nb
0.500 0.500 0.500 Nb
0.250 0.250 0.750 V
0.250 0.750 0.250 V
0.750 0.250 0.250 V
0.750 0.750 0.750 V
0.250 0.250 0.250 Ru
0.250 0.750 0.750 Ru
0.750 0.250 0.750 Ru
0.750 0.750 0.250 Ru

=====

Cd2AgO4 (GGA-PBE, relaxed); symmetry = I4/mmm; formation energy without anion corrections = -1.4 eV per formula unit
1.0
4.061 0.000 0.000
0.000 4.061 0.000
0.000 0.000 11.649
Cd Ag O
4 2 8
direct
0.000 0.000 0.141 Cd
0.000 0.000 0.859 Cd
0.500 0.500 0.359 Cd
0.500 0.500 0.641 Cd
0.000 0.000 0.500 Ag
0.500 0.500 0.000 Ag
0.000 0.000 0.325 O
0.000 0.000 0.675 O
0.000 0.500 0.000 O
0.000 0.500 0.500 O
0.500 0.000 0.000 O
0.500 0.000 0.500 O
0.500 0.500 0.175 O
0.500 0.500 0.825 O

=====

Tb10PmSm4 (GGA-PBE, relaxed); symmetry = I4/m; energy of formation = 0.745 eV/atom
1.0
-6.118 6.118 3.880
6.118 -6.118 3.880
6.118 6.118 -3.880
Tb Pm Sm
10 1 4
direct
0.050 0.151 0.700 Tb
0.151 0.451 0.101 Tb
0.250 0.750 0.500 Tb
0.350 0.050 0.899 Tb
0.451 0.350 0.300 Tb
0.549 0.650 0.700 Tb
0.650 0.950 0.101 Tb
0.750 0.250 0.500 Tb
0.849 0.549 0.899 Tb
0.950 0.849 0.300 Tb
0.000 0.000 0.000 Pm
0.201 0.601 0.801 Sm
0.399 0.201 0.600 Sm
0.601 0.799 0.400 Sm
0.799 0.399 0.199 Sm

=====

Li5TlCd (GGA-PBE, relaxed); symmetry = C2/c; energy of formation = -0.129 eV/atom; relative energy among the computed polymorphs = 0.0000 eV/atom
1.0
4.907 -2.810 0.000
4.907 2.810 0.000
-3.064 0.000 9.783
Li Tl Cd
10 2 2
direct
0.075 0.925 0.750 Li
0.090 0.377 0.765 Li
0.170 0.698 0.004 Li
0.302 0.830 0.496 Li
0.377 0.090 0.265 Li
0.623 0.910 0.735 Li
0.698 0.170 0.504 Li
0.830 0.302 0.996 Li
0.910 0.623 0.235 Li
0.925 0.075 0.250 Li
0.000 0.500 0.500 Tl
0.500 0.000 0.000 Tl
0.453 0.547 0.250 Cd
0.547 0.453 0.750 Cd

=====

Pa5NiAs5 (GGA-PBE, relaxed); symmetry = C2/m; energy of formation = -0.668 eV/atom
1.0
6.450 -2.857 0.000
6.450 2.857 0.000
-2.557 0.000 7.635
Pa Ni As
5 1 5
direct
0.000 0.000 0.000 Pa
0.340 0.340 0.677 Pa
0.344 0.344 0.161 Pa
0.656 0.656 0.839 Pa
0.660 0.660 0.323 Pa
0.500 0.500 0.000 Ni
0.164 0.164 0.827 As
0.177 0.177 0.335 As
0.500 0.500 0.500 As
0.823 0.823 0.665 As
0.836 0.836 0.173 As